Density functional theory data (GGA-PBEsol) for a relaxed HgMoRu2 crystal.

Structure (CIF):
```
data_HgMoRu2
_space_group_name_H-M_alt 'P 4/m m m'
_space_group_IT_number 123
_space_group_name_Hall '-P 4 2'
_cell_length_a 2.912
_cell_length_b 2.912
_cell_length_c 7.316
_cell_angle_alpha 90.00
_cell_angle_beta 90.00
_cell_angle_gamma 90.00
loop_
_atom_site_label
_atom_site_type_symbol
_atom_site_fract_x
_atom_site_fract_y
_atom_site_fract_z
Hg1 Hg 0.000 0.000 0.000
Mo1 Mo 0.000 0.000 0.500
Ru1 Ru 0.500 0.500 0.278
```

The calculation puts the magnetic moment at 0.000 μB/atom. The calculation puts the raw total energy at -7.896 eV per atom. As for the calculated density: 13.35 g/cm³.

=====

Density functional theory data (GGA-PBEsol) for a relaxed HgMoRu2 crystal.

Structure (CIF):
```
data_HgMoRu2
_space_group_name_H-M_alt 'C m m m'
_space_group_IT_number 65
_space_group_name_Hall '-C 2 2'
_cell_length_a 2.973
_cell_length_b 4.631
_cell_length_c 9.087
_cell_angle_alpha 90.00
_cell_angle_beta 90.00
_cell_angle_gamma 90.00
loop_
_atom_site_label
_atom_site_type_symbol
_atom_site_fract_x
_atom_site_fract_y
_atom_site_fract_z
Hg1 Hg 0.000 0.000 0.000
Mo1 Mo 0.000 0.000 0.500
Ru1 Ru 0.000 0.500 0.271
```

The calculation puts the magnetic moment at 0.001 μB/atom. The calculation puts the raw total energy at -7.734 eV per atom. As for the calculated density: 13.23 g/cm³.

=====

Density functional theory data (GGA-PBEsol) for a relaxed HgMo3S crystal.

Structure (CIF):
```
data_HgMo3S
_space_group_name_H-M_alt 'P m -3 m'
_space_group_IT_number 221
_space_group_name_Hall '-P 4 2 3'
_cell_length_a 4.884
_cell_length_b 4.884
_cell_length_c 4.884
_cell_angle_alpha 90.00
_cell_angle_beta 90.00
_cell_angle_gamma 90.00
loop_
_atom_site_label
_atom_site_type_symbol
_atom_site_fract_x
_atom_site_fract_y
_atom_site_fract_z
Hg1 Hg 0.000 0.000 0.000
Mo1 Mo 0.000 0.000 0.500
S1 S 0.500 0.500 0.500
```

The calculation puts the magnetic moment at 0.006 μB/atom. The calculation puts the raw total energy at -5.151 eV per atom. The energy relative to the elements, uncorrected comes out at 2900 meV/atom. As for the calculated density: 7.42 g/cm³.